Entry 1:
In2Sn5 after structural relaxation. Source: Alexandria via LeMat-Bulk, functional PBE-GGA.

Results
- Relative energy among the computed polymorphs: 0 meV per atom
- Crystal system: trigonal

Unit cell a=8.0842 b=8.0842 c=8.0842 alpha=39.62 beta=39.62 gamma=39.62
With the nearest neighbours (Å) after each atom.
Positions (direct):
In (0.1406, 0.1406, 0.1406)  5 Sn 3.14-3.35, 3 In 3.37
In (0.8594, 0.8594, 0.8594)  5 Sn 3.14-3.35, 3 In 3.37
Sn (0.0000, 0.0000, 0.0000)  2 In 3.14, 6 Sn 3.35
Sn (0.2833, 0.2833, 0.2833)  7 Sn 3.14-3.35, 1 In 3.18
Sn (0.4239, 0.4239, 0.4239)  5 Sn 3.14-3.40, 3 In 3.35
Sn (0.5761, 0.5761, 0.5761)  5 Sn 3.14-3.40, 3 In 3.35
Sn (0.7167, 0.7167, 0.7167)  7 Sn 3.14-3.35, 1 In 3.18


Entry 2:
InSn after structural relaxation. Source: Alexandria via LeMat-Bulk, functional PBE-GGA.

Results
- Crystal system: tetragonal

Unit cell a=5.8676 b=5.8676 c=5.8676 alpha=131.88 beta=131.88 gamma=70.42
With the nearest neighbours (Å) after each atom.
Positions (direct):
In (0.3750, 0.6250, 0.7500)  8 Sn 3.38-3.39, 4 In 3.39
In (0.6250, 0.3750, 0.2500)  8 Sn 3.38-3.39, 4 In 3.39
Sn (0.1250, 0.8750, 0.2500)  8 In 3.38-3.39, 4 Sn 3.39
Sn (0.8750, 0.1250, 0.7500)  8 In 3.38-3.39, 4 Sn 3.39


Entry 3:
InSn after structural relaxation. Source: Alexandria via LeMat-Bulk, functional PBE-GGA.

Results
- Crystal system: triclinic

Unit cell a=3.3617 b=5.2575 c=6.3349 alpha=93.12 beta=98.15 gamma=95.80
With the nearest neighbours (Å) after each atom.
Positions (direct):
In (0.1313, 0.2538, 0.3652)  5 Sn 3.24-3.49, 5 In 3.29-3.58
In (0.8687, 0.7462, 0.6348)  5 Sn 3.24-3.49, 5 In 3.29-3.58
Sn (0.4548, 0.7548, 0.1360)  4 Sn 3.17-3.36, 5 In 3.24-3.49
Sn (0.5452, 0.2452, 0.8640)  4 Sn 3.17-3.36, 5 In 3.24-3.49


Entry 4:
InSn after structural relaxation. Source: Alexandria via LeMat-Bulk, functional PBE-GGA.

Results
- Crystal system: cubic

Unit cell a=4.7016 b=4.7016 c=4.7016 alpha=60.00 beta=60.00 gamma=60.00
With the nearest neighbours (Å) after each atom.
Positions (direct):
In (0.0000, 0.0000, 0.0000)  4 Sn 2.88
Sn (0.7500, 0.7500, 0.7500)  4 In 2.88


Entry 5:
InSn4 after structural relaxation. Source: Alexandria via LeMat-Bulk, functional PBE-GGA.

Results
- Relative energy among the computed polymorphs: 0 meV per atom
- Crystal system: orthorhombic

Unit cell a=14.2092 b=14.2092 c=3.0998 alpha=90.00 beta=90.00 gamma=167.09
With the nearest neighbours (Å) after each atom.
Positions (direct):
In (0.0000, 0.0000, 0.0000)  4 In 3.10-3.19, 4 Sn 3.23
Sn (0.1993, 0.8007, 0.0000)  8 Sn 3.10-3.28
Sn (0.4006, 0.5994, 0.0000)  6 Sn 3.10-3.24, 2 In 3.23
Sn (0.5994, 0.4006, 0.0000)  6 Sn 3.10-3.24, 2 In 3.23
Sn (0.8007, 0.1993, 0.0000)  8 Sn 3.10-3.28


Entry 6:
In5Sn after structural relaxation. Source: Alexandria via LeMat-Bulk, functional PBE-GGA.

Results
- Relative energy among the computed polymorphs: 12 meV per atom
- Crystal system: monoclinic

Unit cell a=6.0296 b=6.0296 c=6.6804 alpha=118.75 beta=118.75 gamma=53.35
With the nearest neighbours (Å) after each atom.
Positions (direct):
In (0.0000, 0.0000, 0.0000)  2 Sn 3.23, 7 In 3.28-3.54
In (0.0015, 0.0015, 0.5025)  9 In 3.23-3.62, 1 Sn 3.26
In (0.3313, 0.3313, 0.4840)  8 In 3.23-3.62, 2 Sn 3.34
In (0.6610, 0.6610, 0.4693)  9 In 3.24-3.61, 1 Sn 3.28
In (0.6626, 0.6626, 0.9721)  3 Sn 3.24-3.61, 7 In 3.28-3.54
Sn (0.3311, 0.3311, 0.9838)  9 In 3.23-3.61


Entry 7:
InSn after structural relaxation. Source: Alexandria via LeMat-Bulk, functional PBE-GGA.

Results
- Crystal system: cubic

Unit cell a=8.1953 b=8.1953 c=8.1953 alpha=90.00 beta=90.00 gamma=90.00
With the nearest neighbours (Å) after each atom.
Positions (direct):
In (0.0000, 0.2500, 0.5000)  4 Sn 2.90
In (0.0000, 0.7500, 0.5000)  4 Sn 2.90
In (0.2500, 0.5000, 0.0000)  4 Sn 2.90
In (0.5000, 0.0000, 0.2500)  4 Sn 2.90
In (0.5000, 0.0000, 0.7500)  4 Sn 2.90
In (0.7500, 0.5000, 0.0000)  4 Sn 2.90
Sn (0.0000, 0.5000, 0.2500)  4 In 2.90
Sn (0.0000, 0.5000, 0.7500)  4 In 2.90
Sn (0.2500, 0.0000, 0.5000)  4 In 2.90
Sn (0.5000, 0.2500, 0.0000)  4 In 2.90
Sn (0.5000, 0.7500, 0.0000)  4 In 2.90
Sn (0.7500, 0.0000, 0.5000)  4 In 2.90


Entry 8:
InSn after structural relaxation. Source: Alexandria via LeMat-Bulk, functional PBE-GGA.

Results
- Crystal system: monoclinic

Unit cell a=6.0591 b=6.0591 c=3.3536 alpha=92.76 beta=92.76 gamma=116.44
With the nearest neighbours (Å) after each atom.
Positions (direct):
In (0.2498, 0.2498, 0.0009)  4 In 3.19-3.35, 8 Sn 3.39-3.54
In (0.7502, 0.7502, 0.9991)  4 In 3.19-3.35, 8 Sn 3.39-3.54
Sn (0.2498, 0.7502, 0.5000)  4 Sn 3.19-3.35, 8 In 3.39-3.54
Sn (0.7502, 0.2498, 0.5000)  4 Sn 3.19-3.35, 8 In 3.39-3.54


Entry 9:
In3Sn5 after structural relaxation. Source: Alexandria via LeMat-Bulk, functional PBE-GGA.

Results
- Crystal system: orthorhombic

Unit cell a=6.3269 b=6.3269 c=11.1057 alpha=90.00 beta=90.00 gamma=90.39
With the nearest neighbours (Å) after each atom.
Positions (direct):
In (0.0232, 0.9768, 0.7500)  6 Sn 3.20-3.43
In (0.2554, 0.2554, 0.0000)  6 Sn 3.16-3.46
In (0.2554, 0.2554, 0.5000)  6 Sn 3.16-3.46
In (0.7446, 0.7446, 0.0000)  6 Sn 3.16-3.46
In (0.7446, 0.7446, 0.5000)  6 Sn 3.16-3.46
In (0.9768, 0.0232, 0.2500)  6 Sn 3.20-3.43
Sn (0.0702, 0.5212, 0.2500)  4 Sn 3.20-3.32, 4 In 3.20-3.46
Sn (0.2443, 0.7557, 0.0017)  5 In 3.16-3.43, 3 Sn 3.27-3.32
Sn (0.2443, 0.7557, 0.4983)  5 In 3.16-3.43, 3 Sn 3.27-3.32
Sn (0.4330, 0.5670, 0.7500)  6 Sn 3.20-3.27
Sn (0.4788, 0.9298, 0.2500)  4 Sn 3.20-3.32, 4 In 3.20-3.46
Sn (0.5212, 0.0702, 0.7500)  4 Sn 3.20-3.32, 4 In 3.20-3.46
Sn (0.5670, 0.4330, 0.2500)  6 Sn 3.20-3.27
Sn (0.7557, 0.2443, 0.5017)  5 In 3.16-3.43, 3 Sn 3.27-3.32
Sn (0.7557, 0.2443, 0.9983)  5 In 3.16-3.43, 3 Sn 3.27-3.32
Sn (0.9298, 0.4788, 0.7500)  4 Sn 3.20-3.32, 4 In 3.20-3.46


Entry 10:
InSn after structural relaxation. Source: Alexandria via LeMat-Bulk, functional PBE-GGA.

Results
- Crystal system: hexagonal

Unit cell a=8.3418 b=8.3418 c=6.1649 alpha=90.00 beta=90.00 gamma=120.00
With the nearest neighbours (Å) after each atom.
Positions (direct):
In (0.1428, 0.4217, 0.2500)  5 Sn 3.04-3.30, 2 In 3.22
In (0.2789, 0.8572, 0.2500)  5 Sn 3.04-3.30, 2 In 3.22
In (0.4217, 0.2789, 0.7500)  5 Sn 3.04-3.30, 2 In 3.22
In (0.5783, 0.7211, 0.2500)  5 Sn 3.04-3.30, 2 In 3.22
In (0.7211, 0.1428, 0.7500)  5 Sn 3.04-3.30, 2 In 3.22
In (0.8572, 0.5783, 0.7500)  5 Sn 3.04-3.30, 2 In 3.22
Sn (0.1529, 0.4247, 0.7500)  5 In 3.04-3.30, 2 Sn 3.15
Sn (0.2718, 0.8471, 0.7500)  5 In 3.04-3.30, 2 Sn 3.15
Sn (0.4247, 0.2718, 0.2500)  5 In 3.04-3.30, 2 Sn 3.15
Sn (0.5753, 0.7282, 0.7500)  5 In 3.04-3.30, 2 Sn 3.15
Sn (0.7282, 0.1529, 0.2500)  5 In 3.04-3.30, 2 Sn 3.15
Sn (0.8471, 0.5753, 0.2500)  5 In 3.04-3.30, 2 Sn 3.15


Entry 11:
InSn4 after structural relaxation. Source: Alexandria via LeMat-Bulk, functional PBE-GGA.

Results
- Relative energy among the computed polymorphs: 569 meV per atom
- Crystal system: cubic

Unit cell a=5.5815 b=5.5815 c=5.5815 alpha=90.00 beta=90.00 gamma=90.00
With the nearest neighbours (Å) after each atom.
Positions (direct):
In (0.0000, 0.0000, 0.0000)  6 Sn 2.79
Sn (0.0000, 0.0000, 0.5000)  2 In 2.79
Sn (0.0000, 0.5000, 0.0000)  2 In 2.79
Sn (0.5000, 0.0000, 0.0000)  2 In 2.79
Sn (0.5000, 0.5000, 0.5000)  12 Sn 3.95


Which calculated total energy belongs to each record? In order, -3.5890, -3.3422, -3.3294, -3.1603, -3.7350, -2.9232, -3.0579, -3.3368, -3.4872, -3.2689, -3.1660 eV per atom.
Which ΔH_f (0 K) belongs to each record? In order, 36, 5, 8, 41, 7, 15, 60, 7, 32, 20, 282 kJ/mol of formula units.